1.
First-principles (PBE-GGA) data for crystalline SmHO at its relaxed geometry, as listed in Alexandria via LeMat-Bulk.

Cell and atoms, written as CIF:
```
data_SmHO
_cell_length_a 3.7066
_cell_length_b 3.7066
_cell_length_c 5.0393
_cell_angle_alpha 90.00
_cell_angle_beta 90.00
_cell_angle_gamma 120.00
_space_group_name_H-M_alt 'P 1'
_space_group_IT_number 1
loop_
_space_group_symop_operation_xyz
'x,y,z'
loop_
_atom_site_label
_atom_site_fract_x
_atom_site_fract_y
_atom_site_fract_z
_atom_site_occupancy
Sm1 0.0000 0.0000 0.0000 1
H1 0.6667 0.3333 0.7595 1
O1 0.3333 0.6667 0.1317 1
```

## Properties
The value obtained for the energy above the most stable polymorph in this dataset is 0.326 eV/atom.

***

2.
First-principles (PBE-GGA) data for crystalline Sn3HO at its relaxed geometry, as listed in Alexandria via LeMat-Bulk.

Cell and atoms, written as CIF:
```
data_Sn3HO
_cell_length_a 4.8355
_cell_length_b 4.8355
_cell_length_c 4.8355
_cell_angle_alpha 90.00
_cell_angle_beta 90.00
_cell_angle_gamma 90.00
_space_group_name_H-M_alt 'P 1'
_space_group_IT_number 1
loop_
_space_group_symop_operation_xyz
'x,y,z'
loop_
_atom_site_label
_atom_site_fract_x
_atom_site_fract_y
_atom_site_fract_z
_atom_site_occupancy
Sn1 0.0000 0.0000 0.5000 1
Sn2 0.0000 0.5000 0.0000 1
Sn3 0.5000 0.0000 0.0000 1
H1 0.5000 0.5000 0.5000 1
O1 0.0000 0.0000 0.0000 1
```

## Properties
The value obtained for the energy above the most stable polymorph in this dataset is 0.000 eV/atom.

***

3.
First-principles (PBE-GGA) data for crystalline SnH3O at its relaxed geometry, as listed in Alexandria via LeMat-Bulk.

Cell and atoms, written as CIF:
```
data_SnH3O
_cell_length_a 3.4947
_cell_length_b 3.4947
_cell_length_c 3.4947
_cell_angle_alpha 90.00
_cell_angle_beta 90.00
_cell_angle_gamma 90.00
_space_group_name_H-M_alt 'P 1'
_space_group_IT_number 1
loop_
_space_group_symop_operation_xyz
'x,y,z'
loop_
_atom_site_label
_atom_site_fract_x
_atom_site_fract_y
_atom_site_fract_z
_atom_site_occupancy
Sn1 0.0000 0.0000 0.0000 1
H1 0.0000 0.5000 0.5000 1
H2 0.5000 0.0000 0.5000 1
H3 0.5000 0.5000 0.0000 1
O1 0.5000 0.5000 0.5000 1
```

## Properties
The value obtained for the energy above the most stable polymorph in this dataset is 0.138 eV/atom.

***

no.,density (kg/m3),size of the total moment (μB per formula unit),calculated total energy (eV/cell)
1,4635,0.000,-18.68
2,5480,0.000,-18.85
3,5359,0.000,-15.11